VASP calculation (GGA-PBE) on an optimized crystal structure of CoAs2P.

abc: 2.789 2.789 8.240
angles: 90.00 90.00 90.00
Space group P4/mmm (No. 123)
Symmetry-distinct sites (fractional):
Co 0.000 0.000 0.000 [1 per cell]
As 0.500 0.500 0.189 [2 per cell]
P 0.000 0.000 0.500 [1 per cell]

Output
**DOS(E_F)**: 2.2 states/eV/f.u.
**Formation enthalpy at 0 K**: 0.277 eV/atom
**Density**: 6.2 g/cm³